Entry 1:
DFT (meta-GGA SCAN) results for a PBEsol-optimized structure of TlBi2Mo.

Lattice parameters (Å, degrees): 6.6181 6.6181 13.4195 90.00 90.00 90.00
Space group I-42d (No. 122)
One atom of each set of equivalent atoms:
Tl 0.0000 0.0000 0.0000 x4
Bi 0.1840 0.2500 0.6250 x8
Mo 0.0000 0.0000 0.5000 x4

## Properties
N(E_F)   6.88 states/eV per cell
DFT formation energy   0.749 eV per atom

Entry 2:
DFT (meta-GGA SCAN) results for a PBEsol-optimized structure of YRh2Pb.

Lattice parameters (Å, degrees): 4.1677 3.6558 10.1056 90.00 90.00 90.00
Space group Amm2 (No. 38)
One atom of each set of equivalent atoms:
Y 0.0000 0.0000 0.0000 x2
Rh 0.0000 0.0000 0.2767 x2
Rh 0.5000 0.0000 0.4438 x2
Pb 0.5000 0.0000 0.7142 x2

## Properties
N(E_F)   4.83 states/eV per cell
DFT formation energy   -0.549 eV per atom

Entry 3:
DFT (meta-GGA SCAN) results for a PBEsol-optimized structure of Cs6Cr2O7.

Lattice parameters (Å, degrees): 7.1520 9.6936 12.0248 90.00 125.49 90.00
Space group P2_1/c (No. 14)
One atom of each set of equivalent atoms:
Cs 0.0438 0.1454 0.4161 x4
Cs 0.2034 0.5272 0.4503 x4
Cs 0.4038 0.2128 0.2803 x4
Cr 0.3250 0.6347 0.8709 x4
O 0.0725 0.6623 0.8602 x4
O 0.2658 0.5846 0.7137 x4
O 0.4987 0.7168 0.4306 x4
O 0.5000 0.0000 0.5000 x2

## Properties
ΔE_f (raw)   -29.36 eV/f.u.

Entry 4:
DFT (meta-GGA SCAN) results for a PBEsol-optimized structure of Cd4SF6.

Lattice parameters (Å, degrees): 7.8612 7.8612 5.5045 90.00 90.00 90.00
Space group P4_2/nmc (No. 137, origin choice 2)
One atom of each set of equivalent atoms:
Cd 0.0139 0.2500 0.0160 x8
S 0.2500 0.7500 0.7500 x2
F 0.0345 0.5345 0.2500 x8
F 0.2500 0.2500 0.2764 x4

## Properties
N(E_F)   0.00 states/eV per cell
ΔE_f (raw)   -22.90 eV/f.u.

The calculation returns the following size of the total moment values, one per record and in order: 1.390 0.000 4.000 0.000 μB/f.u..